VASP calculation (meta-GGA SCAN) on a crystal of PIrC2Se relaxed with PBEsol.

ρ	7.04	g/cm³
formation energy from raw total energies	1.31	eV/atom
total magnetization	0.000	μB/f.u.
electronic total energy	-23.0424	eV per atom

Cell lengths 3.8215, 3.8215, 5.2648 Å; angles 90.00, 90.00, 90.00 degrees
Space group P4/mmm (No. 123)
Symmetry-distinct sites (fractional):
P 0.0000 0.0000 0.0000 (multiplicity 1)
Ir 0.0000 0.0000 0.5000 (multiplicity 1)
C 0.0000 0.5000 0.5000 (multiplicity 2)
Se 0.5000 0.5000 0.0000 (multiplicity 1)